--- 1 ---
# SmDyInPb GGA-PBE relaxed
data_SmDyInPb
_chemical_formula_sum 'Sm4 Dy4 In4 Pb4'
_cell_length_a 7.687
_cell_length_b 7.687
_cell_length_c 7.687
_cell_angle_alpha 90.00
_cell_angle_beta 90.00
_cell_angle_gamma 90.00
_space_group_name_H-M_alt 'F -4 3 m'
_space_group_IT_number 216
_space_group_name_Hall 'F -4 2 3'
loop_
_atom_site_label
_atom_site_type_symbol
_atom_site_fract_x
_atom_site_fract_y
_atom_site_fract_z
Sm1 Sm 0.000 0.000 0.000
Dy1 Dy 0.000 0.000 0.500
In1 In 0.250 0.250 0.750
Pb1 Pb 0.250 0.250 0.250
# Size of the total moment in μB/atom: 0.000
# DOS at the Fermi energy in states/eV/atom: 0.742

---

--- 2 ---
# SmDyInPb GGA-PBE relaxed
data_SmDyInPb
_chemical_formula_sum 'Sm2 Dy2 In2 Pb2'
_cell_length_a 5.010
_cell_length_b 5.010
_cell_length_c 8.931
_cell_angle_alpha 90.00
_cell_angle_beta 90.00
_cell_angle_gamma 90.00
_space_group_name_H-M_alt 'I -4 m 2'
_space_group_IT_number 119
_space_group_name_Hall 'I -4 -2'
loop_
_atom_site_label
_atom_site_type_symbol
_atom_site_fract_x
_atom_site_fract_y
_atom_site_fract_z
Sm1 Sm 0.000 0.000 0.000
Dy1 Dy 0.000 0.000 0.500
In1 In 0.000 0.500 0.750
Pb1 Pb 0.000 0.500 0.250
# Size of the total moment in μB/atom: 0.000
# DOS at the Fermi energy in states/eV/atom: 0.822

---

Which one is most stable, and which one is least stable? 2 is the most stable of them, while 1 is the least stable.

---

--- 1 ---
# Dy2InPd4 GGA-PBE relaxed
data_Dy2InPd4
_chemical_formula_sum 'Dy4 In2 Pd8'
_cell_length_a 4.923
_cell_length_b 4.923
_cell_length_c 14.183
_cell_angle_alpha 90.00
_cell_angle_beta 90.00
_cell_angle_gamma 90.00
_space_group_name_H-M_alt 'I 4/m m m'
_space_group_IT_number 139
_space_group_name_Hall '-I 4 2'
loop_
_atom_site_label
_atom_site_type_symbol
_atom_site_fract_x
_atom_site_fract_y
_atom_site_fract_z
Dy1 Dy 0.000 0.000 0.129
In1 In 0.000 0.000 0.500
Pd1 Pd 0.000 0.000 0.313
Pd2 Pd 0.000 0.500 0.000
# Size of the total moment in μB/atom: 0.000
# DOS at the Fermi energy in states/eV/atom: 0.498

---

--- 2 ---
# Dy2InPd4 GGA-PBE relaxed
data_Dy2InPd4
_chemical_formula_sum 'Dy4 In2 Pd8'
_cell_length_a 7.831
_cell_length_b 5.028
_cell_length_c 7.544
_cell_angle_alpha 90.00
_cell_angle_beta 95.16
_cell_angle_gamma 90.00
_space_group_name_H-M_alt 'C 1 2/m 1'
_space_group_IT_number 12
loop_
_space_group_symop_operation_xyz
'x,y,z'
'-x,-y,-z'
'-x,y,-z'
'x,-y,z'
'x+1/2,y+1/2,z'
'-x+1/2,-y+1/2,-z'
'-x+1/2,y+1/2,-z'
'x+1/2,-y+1/2,z'
loop_
_atom_site_label
_atom_site_type_symbol
_atom_site_fract_x
_atom_site_fract_y
_atom_site_fract_z
Dy1 Dy 0.206 0.000 0.290
In1 In 0.000 0.500 0.000
Pd1 Pd 0.086 0.500 0.358
Pd2 Pd 0.149 0.000 0.892
# Size of the total moment in μB/atom: 0.000
# DOS at the Fermi energy in states/eV/atom: 0.435

---

Which one is most stable, and which one is least stable? 2 is the most stable of them, while 1 is the least stable.

---

--- 1 ---
# Dy4InPd GGA-PBE relaxed
data_Dy4InPd
_chemical_formula_sum 'Dy64 In16 Pd16'
_cell_length_a 13.751
_cell_length_b 13.751
_cell_length_c 13.751
_cell_angle_alpha 90.00
_cell_angle_beta 90.00
_cell_angle_gamma 90.00
_space_group_name_H-M_alt 'F -4 3 m'
_space_group_IT_number 216
_space_group_name_Hall 'F -4 2 3'
loop_
_atom_site_label
_atom_site_type_symbol
_atom_site_fract_x
_atom_site_fract_y
_atom_site_fract_z
Dy1 Dy 0.000 0.000 0.186
Dy2 Dy 0.061 0.250 0.750
Dy3 Dy 0.103 0.103 0.397
In1 In 0.167 0.167 0.167
Pd1 Pd 0.106 0.106 0.606
# Size of the total moment in μB/atom: 0.000
# DOS at the Fermi energy in states/eV/atom: 0.831

---

--- 2 ---
# Dy4InPd GGA-PBE relaxed
data_Dy4InPd
_chemical_formula_sum 'Dy16 In4 Pd4'
_cell_length_a 8.797
_cell_length_b 13.022
_cell_length_c 6.107
_cell_angle_alpha 90.00
_cell_angle_beta 107.43
_cell_angle_gamma 90.00
_space_group_name_H-M_alt 'C 1 2/c 1'
_space_group_IT_number 15
loop_
_space_group_symop_operation_xyz
'x,y,z'
'-x,-y,-z'
'-x,y,-z+1/2'
'x,-y,z+1/2'
'x+1/2,y+1/2,z'
'-x+1/2,-y+1/2,-z'
'-x+1/2,y+1/2,-z+1/2'
'x+1/2,-y+1/2,z+1/2'
loop_
_atom_site_label
_atom_site_type_symbol
_atom_site_fract_x
_atom_site_fract_y
_atom_site_fract_z
Dy1 Dy 0.112 0.174 0.052
Dy2 Dy 0.210 0.416 0.390
In1 In 0.000 0.378 0.750
Pd1 Pd 0.000 0.001 0.750
# Size of the total moment in μB/atom: 0.000
# DOS at the Fermi energy in states/eV/atom: 1.075

---

Which one is most stable, and which one is least stable? 1 is the most stable of them, while 2 is the least stable.

---

--- 1 ---
# Pm2Dy2In GGA-PBE relaxed
data_Pm2Dy2In
_chemical_formula_sum 'Pm4 Dy4 In2'
_cell_length_a 4.376
_cell_length_b 4.376
_cell_length_c 17.413
_cell_angle_alpha 90.00
_cell_angle_beta 90.00
_cell_angle_gamma 90.00
_space_group_name_H-M_alt 'I 4/m m m'
_space_group_IT_number 139
_space_group_name_Hall '-I 4 2'
loop_
_atom_site_label
_atom_site_type_symbol
_atom_site_fract_x
_atom_site_fract_y
_atom_site_fract_z
Pm1 Pm 0.000 0.500 0.250
Dy1 Dy 0.000 0.000 0.087
In1 In 0.000 0.000 0.500
# Size of the total moment in μB/atom: 0.000
# DOS at the Fermi energy in states/eV/atom: 1.490

---

--- 2 ---
# Pm2Dy2In GGA-PBE relaxed
data_Pm2Dy2In
_chemical_formula_sum 'Pm4 Dy4 In2'
_cell_length_a 5.4649
_cell_length_b 5.4649
_cell_length_c 12.2357
_cell_angle_alpha 90.00
_cell_angle_beta 90.00
_cell_angle_gamma 120.00
_space_group_name_H-M_alt 'P 63/m m c'
_space_group_IT_number 194
_space_group_name_Hall '-P 6c 2c'
loop_
_atom_site_label
_atom_site_type_symbol
_atom_site_fract_x
_atom_site_fract_y
_atom_site_fract_z
Pm1 Pm 0.3333 0.6667 0.0885
Dy1 Dy 0.0000 0.0000 0.0000
Dy2 Dy 0.3333 0.6667 0.7500
In1 In 0.0000 0.0000 0.2500
# Size of the total moment in μB/atom: 0.000
# DOS at the Fermi energy in states/eV/atom: 1.557

---

Which one is most stable, and which one is least stable? 2 is the most stable of them, while 1 is the least stable.

---

--- 1 ---
# Pm4Dy3In GGA-PBE relaxed
data_Pm4Dy3In
_chemical_formula_sum 'Pm8 Dy6 In2'
_cell_length_a 10.066
_cell_length_b 7.029
_cell_length_c 7.102
_cell_angle_alpha 90.00
_cell_angle_beta 90.00
_cell_angle_gamma 90.00
_space_group_name_H-M_alt 'P m n 21'
_space_group_IT_number 31
loop_
_space_group_symop_operation_xyz
'x,y,z'
'-x+1/2,-y,z+1/2'
'-x,y,z'
'x+1/2,-y,z+1/2'
loop_
_atom_site_label
_atom_site_type_symbol
_atom_site_fract_x
_atom_site_fract_y
_atom_site_fract_z
Pm1 Pm 0.000 0.000 0.000
Pm2 Pm 0.000 0.499 0.501
Pm3 Pm 0.250 0.250 0.750
Dy1 Dy 0.000 0.500 0.000
Dy2 Dy 0.250 0.243 0.250
In1 In 0.000 0.000 0.500
# Size of the total moment in μB/atom: 0.000
# DOS at the Fermi energy in states/eV/atom: 1.481

---

--- 2 ---
# Pm4Dy3In GGA-PBE relaxed
data_Pm4Dy3In
_chemical_formula_sum 'Pm8 Dy6 In2'
_cell_length_a 11.318
_cell_length_b 7.151
_cell_length_c 6.228
_cell_angle_alpha 90.00
_cell_angle_beta 90.00
_cell_angle_gamma 90.00
_space_group_name_H-M_alt 'P m n 21'
_space_group_IT_number 31
loop_
_space_group_symop_operation_xyz
'x,y,z'
'-x+1/2,-y,z+1/2'
'-x,y,z'
'x+1/2,-y,z+1/2'
loop_
_atom_site_label
_atom_site_type_symbol
_atom_site_fract_x
_atom_site_fract_y
_atom_site_fract_z
Pm1 Pm 0.000 0.129 0.000
Pm2 Pm 0.000 0.867 0.450
Pm3 Pm 0.231 0.867 0.817
Dy1 Dy 0.000 0.373 0.476
Dy2 Dy 0.246 0.385 0.798
In1 In 0.000 0.608 0.978
# Size of the total moment in μB/atom: 0.000
# DOS at the Fermi energy in states/eV/atom: 1.283

---

Which one is most stable, and which one is least stable? 2 is the most stable of them, while 1 is the least stable.

---

--- 1 ---
# PmDy2In2 GGA-PBE relaxed
data_PmDy2In2
_chemical_formula_sum 'Pm2 Dy4 In4'
_cell_length_a 5.1812
_cell_length_b 5.1812
_cell_length_c 12.8598
_cell_angle_alpha 90.00
_cell_angle_beta 90.00
_cell_angle_gamma 120.00
_space_group_name_H-M_alt 'P 63/m m c'
_space_group_IT_number 194
_space_group_name_Hall '-P 6c 2c'
loop_
_atom_site_label
_atom_site_type_symbol
_atom_site_fract_x
_atom_site_fract_y
_atom_site_fract_z
Pm1 Pm 0.0000 0.0000 0.2500
Dy1 Dy 0.0000 0.0000 0.0000
Dy2 Dy 0.3333 0.6667 0.2500
In1 In 0.3333 0.6667 0.6300
# Size of the total moment in μB/atom: 0.001
# DOS at the Fermi energy in states/eV/atom: 0.646

---

--- 2 ---
# PmDy2In2 GGA-PBE relaxed
data_PmDy2In2
_chemical_formula_sum 'Pm2 Dy4 In4'
_cell_length_a 4.387
_cell_length_b 4.987
_cell_length_c 13.078
_cell_angle_alpha 90.00
_cell_angle_beta 99.64
_cell_angle_gamma 90.00
_space_group_name_H-M_alt 'P 1 21/m 1'
_space_group_IT_number 11
loop_
_space_group_symop_operation_xyz
'x,y,z'
'-x,-y,-z'
'-x,y+1/2,-z'
'x,-y+1/2,z'
loop_
_atom_site_label
_atom_site_type_symbol
_atom_site_fract_x
_atom_site_fract_y
_atom_site_fract_z
Pm1 Pm 0.144 0.250 0.288
Dy1 Dy 0.049 0.750 0.098
Dy2 Dy 0.239 0.750 0.479
In1 In 0.350 0.250 0.700
In2 In 0.454 0.750 0.910
# Size of the total moment in μB/atom: 0.000
# DOS at the Fermi energy in states/eV/atom: 1.063

---

Which one is most stable, and which one is least stable? 2 is the most stable of them, while 1 is the least stable.